Below is a geometry-optimized TbZr2Co structure, with properties calculated at the PBE level.

As for the total magnetic moment: 0.00 μB/f.u. As for the symmetry: R3m. The density of states at the Fermi level is 10.20 states/eV per cell. Its volume is 93.0 Å³/f.u. The value obtained for the energy above the most stable polymorph in this dataset is 0.78 eV/f.u. For the formation energy, the calculation gives 0.04 eV/atom. The uncorrected energy is -7.17 eV/atom.

Cell: 4.084 4.084 19.312 Å, 90.00 90.00 120.00°
Fractional positions:
Tb1 0.000 0.000 0.000
Tb2 0.333 0.667 0.667
Tb3 0.667 0.333 0.333
Zr1 0.000 0.000 0.556
Zr2 0.000 0.000 0.784
Zr3 0.333 0.667 0.222
Zr4 0.333 0.667 0.451
Zr5 0.667 0.333 0.117
Zr6 0.667 0.333 0.889
Co1 0.000 0.000 0.175
Co2 0.333 0.667 0.842
Co3 0.667 0.333 0.509